[1]
First-principles (GGA-PBE) data for CsLuInTe3 after structural relaxation, as listed in the Open Quantum Materials Database.

Cell lengths 9.119, 9.119, 12.002 Å; angles 90.00, 90.00, 149.72 degrees
Fractional positions:
Cs 0.244 0.756 0.750
Cs 0.756 0.244 0.250
Lu 0.034 0.966 0.250
Lu 0.966 0.034 0.750
In 0.500 0.500 0.000
In 0.500 0.500 0.500
Te 0.124 0.876 0.055
Te 0.124 0.876 0.445
Te 0.438 0.562 0.250
Te 0.562 0.438 0.750
Te 0.876 0.124 0.555
Te 0.876 0.124 0.945

[2]
First-principles (GGA-PBE) data for ErSnOs after structural relaxation, as listed in the Open Quantum Materials Database.

Cell lengths 4.717, 4.717, 4.717 Å; angles 60.00, 60.00, 60.00 degrees
Fractional positions:
Er 0.000 0.000 0.000
Sn 0.250 0.250 0.250
Os 0.750 0.750 0.750

[3]
First-principles (GGA-PBE) data for Li2Mg2AlGaAu2 after structural relaxation, as listed in the Open Quantum Materials Database.

Cell lengths 4.520, 4.520, 6.347 Å; angles 90.00, 90.00, 90.00 degrees
Fractional positions:
Li 0.000 0.500 0.247
Li 0.500 0.000 0.753
Mg 0.000 0.000 0.000
Mg 0.500 0.500 0.500
Al 0.000 0.000 0.500
Ga 0.500 0.500 0.000
Au 0.000 0.500 0.742
Au 0.500 0.000 0.258

[4]
First-principles (GGA-PBE) data for Li4TlSbPd2 after structural relaxation, as listed in the Open Quantum Materials Database.

Cell lengths 4.523, 4.523, 6.360 Å; angles 90.00, 90.00, 90.00 degrees
Fractional positions:
Li 0.000 0.000 0.000
Li 0.000 0.500 0.250
Li 0.500 0.000 0.750
Li 0.500 0.500 0.500
Tl 0.000 0.000 0.500
Sb 0.500 0.500 0.000
Pd 0.000 0.500 0.766
Pd 0.500 0.000 0.234

Number 1: DFT total energy -3.760 eV per atom. Number 2: DFT total energy -5.924 eV per atom. Number 3: DFT total energy -3.011 eV per atom. Number 4: DFT total energy -3.578 eV per atom.